1.
Material: InBiCl3
Method: DFT, GGA-PBE
State: optimized geometry

Geometry as CIF:
```
data_InBiCl3
_cell_length_a 5.643
_cell_length_b 5.643
_cell_length_c 5.643
_cell_angle_alpha 90.00
_cell_angle_beta 90.00
_cell_angle_gamma 90.00
_symmetry_space_group_name_H-M 'P 1'
_symmetry_Int_Tables_number 1
_symmetry_space_group_name_Hall 'P 1'
loop_
_atom_site_label
_atom_site_type_symbol
_atom_site_fract_x
_atom_site_fract_y
_atom_site_fract_z
In1 In 0.000 0.000 0.000
Bi1 Bi 0.500 0.500 0.500
Cl1 Cl 0.000 0.500 0.500
Cl2 Cl 0.500 0.000 0.500
Cl3 Cl 0.500 0.500 0.000
```

## Properties
V ... 35.9 Å³ per atom
Offset from the most stable computed form ... 0.83 eV/f.u.
Formation energy from raw total energies ... -3.1 eV per formula unit
Space-group type ... Pm-3m
Final energy ... -3.06 eV/atom

---

2.
Material: InBi2Cl2
Method: DFT, GGA-PBE
State: optimized geometry

Geometry as CIF:
```
data_InBi2Cl2
_cell_length_a 8.117
_cell_length_b 8.117
_cell_length_c 5.481
_cell_angle_alpha 90.00
_cell_angle_beta 90.00
_cell_angle_gamma 90.00
_symmetry_space_group_name_H-M 'P 1'
_symmetry_Int_Tables_number 1
_symmetry_space_group_name_Hall 'P 1'
loop_
_atom_site_label
_atom_site_type_symbol
_atom_site_fract_x
_atom_site_fract_y
_atom_site_fract_z
In1 In 0.000 0.000 0.000
In2 In 0.500 0.500 0.000
Bi1 Bi 0.138 0.362 0.000
Bi2 Bi 0.362 0.862 0.000
Bi3 Bi 0.638 0.138 0.000
Bi4 Bi 0.862 0.638 0.000
Cl1 Cl 0.180 0.320 0.500
Cl2 Cl 0.320 0.820 0.500
Cl3 Cl 0.680 0.180 0.500
Cl4 Cl 0.820 0.680 0.500
```

## Properties
V ... 36.1 Å³ per atom
Formation energy from raw total energies ... -1.7 eV per formula unit
Space-group type ... P4/mbm
Final energy ... -3.19 eV/atom

---

3.
Material: InBiCl3
Method: DFT, GGA-PBE
State: optimized geometry

Geometry as CIF:
```
data_InBiCl3
_cell_length_a 3.680
_cell_length_b 10.083
_cell_length_c 10.108
_cell_angle_alpha 71.38
_cell_angle_beta 89.96
_cell_angle_gamma 89.96
_symmetry_space_group_name_H-M 'P 1'
_symmetry_Int_Tables_number 1
_symmetry_space_group_name_Hall 'P 1'
loop_
_atom_site_label
_atom_site_type_symbol
_atom_site_fract_x
_atom_site_fract_y
_atom_site_fract_z
In1 In 0.003 0.293 0.295
In2 In 0.997 0.707 0.705
Bi1 Bi 0.500 0.182 0.818
Bi2 Bi 0.500 0.818 0.182
Cl1 Cl 0.498 0.455 0.790
Cl2 Cl 0.498 0.792 0.454
Cl3 Cl 0.500 0.112 0.111
Cl4 Cl 0.500 0.888 0.889
Cl5 Cl 0.502 0.208 0.546
Cl6 Cl 0.502 0.545 0.210
```

## Properties
V ... 35.5 Å³ per atom
Offset from the most stable computed form ... 0.00 eV/f.u.
Formation energy from raw total energies ... -4.0 eV per formula unit
Space-group type ... P-1
Final energy ... -3.22 eV/atom

---

4.
Material: K2InBiCl6
Method: DFT, GGA-PBE
State: optimized geometry

Geometry as CIF:
```
data_K2InBiCl6
_cell_length_a 8.108
_cell_length_b 8.108
_cell_length_c 8.108
_cell_angle_alpha 57.16
_cell_angle_beta 57.16
_cell_angle_gamma 57.16
_symmetry_space_group_name_H-M 'P 1'
_symmetry_Int_Tables_number 1
_symmetry_space_group_name_Hall 'P 1'
loop_
_atom_site_label
_atom_site_type_symbol
_atom_site_fract_x
_atom_site_fract_y
_atom_site_fract_z
K1 K 0.000 0.000 0.000
K2 K 0.491 0.491 0.491
In1 In 0.207 0.207 0.207
Bi1 Bi 0.699 0.699 0.699
Cl1 Cl 0.044 0.449 0.818
Cl2 Cl 0.351 0.903 0.588
Cl3 Cl 0.449 0.818 0.044
Cl4 Cl 0.588 0.351 0.903
Cl5 Cl 0.818 0.044 0.449
Cl6 Cl 0.903 0.588 0.351
```

## Properties
V ... 35.2 Å³ per atom
Formation energy from raw total energies ... -13.8 eV per formula unit
Space-group type ... R3
Final energy ... -3.37 eV/atom

---

5.
Material: KIn2BiCl6
Method: DFT, GGA-PBE
State: optimized geometry

Geometry as CIF:
```
data_KIn2BiCl6
_cell_length_a 7.865
_cell_length_b 7.873
_cell_length_c 8.035
_cell_angle_alpha 60.71
_cell_angle_beta 60.71
_cell_angle_gamma 60.04
_symmetry_space_group_name_H-M 'P 1'
_symmetry_Int_Tables_number 1
_symmetry_space_group_name_Hall 'P 1'
loop_
_atom_site_label
_atom_site_type_symbol
_atom_site_fract_x
_atom_site_fract_y
_atom_site_fract_z
K1 K 0.000 0.000 0.000
In1 In 0.284 0.285 0.146
In2 In 0.790 0.790 0.631
Bi1 Bi 0.491 0.491 0.526
Cl1 Cl 0.147 0.378 0.790
Cl2 Cl 0.240 0.828 0.312
Cl3 Cl 0.377 0.684 0.791
Cl4 Cl 0.620 0.240 0.312
Cl5 Cl 0.684 0.148 0.791
Cl6 Cl 0.828 0.620 0.312
```

## Properties
V ... 35.6 Å³ per atom
Formation energy from raw total energies ... -11.4 eV per formula unit
Space-group type ... P1
Final energy ... -3.29 eV/atom

---

6.
Material: Li2InBiCl6
Method: DFT, GGA-PBE
State: optimized geometry

Geometry as CIF:
```
data_Li2InBiCl6
_cell_length_a 6.708
_cell_length_b 6.709
_cell_length_c 8.560
_cell_angle_alpha 66.95
_cell_angle_beta 66.94
_cell_angle_gamma 60.01
_symmetry_space_group_name_H-M 'P 1'
_symmetry_Int_Tables_number 1
_symmetry_space_group_name_Hall 'P 1'
loop_
_atom_site_label
_atom_site_type_symbol
_atom_site_fract_x
_atom_site_fract_y
_atom_site_fract_z
Li1 Li 0.000 0.000 0.000
Li2 Li 0.345 0.345 0.965
In1 In 0.172 0.173 0.482
Bi1 Bi 0.673 0.672 0.982
Cl1 Cl 0.081 0.390 0.792
Cl2 Cl 0.265 0.955 0.173
Cl3 Cl 0.391 0.737 0.792
Cl4 Cl 0.608 0.264 0.173
Cl5 Cl 0.738 0.080 0.792
Cl6 Cl 0.955 0.607 0.173
```

## Properties
V ... 29.8 Å³ per atom
Formation energy from raw total energies ... -12.9 eV per formula unit
Space-group type ... P1
Final energy ... -3.44 eV/atom

---

7.
Material: LiIn2BiCl6
Method: DFT, GGA-PBE
State: optimized geometry

Geometry as CIF:
```
data_LiIn2BiCl6
_cell_length_a 7.270
_cell_length_b 7.551
_cell_length_c 12.660
_cell_angle_alpha 90.00
_cell_angle_beta 124.78
_cell_angle_gamma 90.00
_symmetry_space_group_name_H-M 'P 1'
_symmetry_Int_Tables_number 1
_symmetry_space_group_name_Hall 'P 1'
loop_
_atom_site_label
_atom_site_type_symbol
_atom_site_fract_x
_atom_site_fract_y
_atom_site_fract_z
Li1 Li 0.000 0.000 0.000
Li2 Li 0.000 0.500 0.500
In1 In 0.232 0.066 0.748
In2 In 0.232 0.434 0.248
In3 In 0.768 0.566 0.752
In4 In 0.768 0.934 0.252
Bi1 Bi 0.500 0.000 0.500
Bi2 Bi 0.500 0.500 0.000
Cl1 Cl 0.156 0.206 0.459
Cl2 Cl 0.156 0.294 0.959
Cl3 Cl 0.255 0.701 0.460
Cl4 Cl 0.255 0.799 0.960
Cl5 Cl 0.325 0.017 0.243
Cl6 Cl 0.325 0.483 0.743
Cl7 Cl 0.675 0.517 0.257
Cl8 Cl 0.675 0.983 0.757
Cl9 Cl 0.745 0.201 0.040
Cl10 Cl 0.745 0.299 0.540
Cl11 Cl 0.844 0.706 0.041
Cl12 Cl 0.844 0.794 0.541
```

## Properties
V ... 28.5 Å³ per atom
Formation energy from raw total energies ... -10.8 eV per formula unit
Space-group type ... P2_1/c
Final energy ... -3.32 eV/atom

---

8.
Material: Na2InBiCl6
Method: DFT, GGA-PBE
State: optimized geometry

Geometry as CIF:
```
data_Na2InBiCl6
_cell_length_a 7.838
_cell_length_b 7.838
_cell_length_c 7.838
_cell_angle_alpha 55.43
_cell_angle_beta 55.43
_cell_angle_gamma 55.43
_symmetry_space_group_name_H-M 'P 1'
_symmetry_Int_Tables_number 1
_symmetry_space_group_name_Hall 'P 1'
loop_
_atom_site_label
_atom_site_type_symbol
_atom_site_fract_x
_atom_site_fract_y
_atom_site_fract_z
Na1 Na 0.000 0.000 0.000
Na2 Na 0.485 0.485 0.485
In1 In 0.197 0.197 0.197
Bi1 Bi 0.682 0.682 0.682
Cl1 Cl 0.075 0.415 0.765
Cl2 Cl 0.289 0.855 0.637
Cl3 Cl 0.415 0.765 0.075
Cl4 Cl 0.637 0.289 0.855
Cl5 Cl 0.765 0.075 0.415
Cl6 Cl 0.855 0.637 0.289
```

## Properties
V ... 30.4 Å³ per atom
Formation energy from raw total energies ... -12.9 eV per formula unit
Space-group type ... R3
Final energy ... -3.33 eV/atom

---

9.
Material: Nb2InBiCl
Method: DFT, GGA-PBE
State: optimized geometry

Geometry as CIF:
```
data_Nb2InBiCl
_cell_length_a 5.376
_cell_length_b 5.376
_cell_length_c 4.948
_cell_angle_alpha 90.00
_cell_angle_beta 90.00
_cell_angle_gamma 90.00
_symmetry_space_group_name_H-M 'P 1'
_symmetry_Int_Tables_number 1
_symmetry_space_group_name_Hall 'P 1'
loop_
_atom_site_label
_atom_site_type_symbol
_atom_site_fract_x
_atom_site_fract_y
_atom_site_fract_z
Nb1 Nb 0.000 0.500 0.000
Nb2 Nb 0.500 0.000 0.000
In1 In 0.000 0.000 0.000
Bi1 Bi 0.500 0.500 0.500
Cl1 Cl 0.000 0.000 0.500
```

## Properties
V ... 28.6 Å³ per atom
Formation energy from raw total energies ... 6.6 eV per formula unit
Space-group type ... P4/mmm
Final energy ... -4.39 eV/atom

---

10.
Material: InBiP2Cl
Method: DFT, GGA-PBE
State: optimized geometry

Geometry as CIF:
```
data_InBiP2Cl
_cell_length_a 5.211
_cell_length_b 5.211
_cell_length_c 5.076
_cell_angle_alpha 90.00
_cell_angle_beta 90.00
_cell_angle_gamma 90.00
_symmetry_space_group_name_H-M 'P 1'
_symmetry_Int_Tables_number 1
_symmetry_space_group_name_Hall 'P 1'
loop_
_atom_site_label
_atom_site_type_symbol
_atom_site_fract_x
_atom_site_fract_y
_atom_site_fract_z
In1 In 0.000 0.000 0.000
Bi1 Bi 0.500 0.500 0.500
P1 P 0.000 0.500 0.000
P2 P 0.500 0.000 0.000
Cl1 Cl 0.000 0.000 0.500
```

## Properties
V ... 27.6 Å³ per atom
Offset from the most stable computed form ... 0.00 eV/f.u.
Formation energy from raw total energies ... 2.5 eV per formula unit
Space-group type ... P4/mmm
Final energy ... -3.35 eV/atom